[1]
DFT (PBEsol) results for an optimized crystal structure of NiPt3Cl.

Geometry as CIF:
```
data_NiPt3Cl
_symmetry_space_group_name_H-M 'P m -3 m'
_symmetry_Int_Tables_number 221
_symmetry_space_group_name_Hall '-P 4 2 3'
_cell_length_a 4.537
_cell_length_b 4.537
_cell_length_c 4.537
_cell_angle_alpha 90.00
_cell_angle_beta 90.00
_cell_angle_gamma 90.00
loop_
_atom_site_label
_atom_site_fract_x
_atom_site_fract_y
_atom_site_fract_z
_atom_site_occupancy
Ni1 0.000 0.000 0.000 1
Pt1 0.000 0.000 0.500 1
Cl1 0.500 0.500 0.500 1
```

***

[2]
# NiPt2Cl PBEsol relaxed
# offset from the most stable computed form: 0 meV/atom
data_NiPt2Cl
_symmetry_space_group_name_H-M 'P 4 m m'
_symmetry_Int_Tables_number 99
_cell_length_a 2.801
_cell_length_b 2.801
_cell_length_c 7.552
_cell_angle_alpha 90.00
_cell_angle_beta 90.00
_cell_angle_gamma 90.00
loop_
_symmetry_equiv_pos_as_xyz
'x,y,z'
'-y,x,z'
'-x,-y,z'
'y,-x,z'
'-x,y,z'
'y,x,z'
'x,-y,z'
'-y,-x,z'
loop_
_atom_site_label
_atom_site_fract_x
_atom_site_fract_y
_atom_site_fract_z
_atom_site_occupancy
Ni1 0.000 0.000 0.000 1
Pt1 0.000 0.000 0.478 1
Pt2 0.500 0.500 0.225 1
Cl1 0.500 0.500 0.805 1

***

[3]
# NiPt2Cl PBEsol relaxed
# offset from the most stable computed form: 175 meV/atom
data_NiPt2Cl
_symmetry_space_group_name_H-M 'I m m 2'
_symmetry_Int_Tables_number 44
_cell_length_a 2.764
_cell_length_b 4.688
_cell_length_c 8.885
_cell_angle_alpha 90.00
_cell_angle_beta 90.00
_cell_angle_gamma 90.00
loop_
_symmetry_equiv_pos_as_xyz
'x,y,z'
'-x,-y,z'
'-x,y,z'
'x,-y,z'
'x+1/2,y+1/2,z+1/2'
'-x+1/2,-y+1/2,z+1/2'
'-x+1/2,y+1/2,z+1/2'
'x+1/2,-y+1/2,z+1/2'
loop_
_atom_site_label
_atom_site_fract_x
_atom_site_fract_y
_atom_site_fract_z
_atom_site_occupancy
Ni1 0.000 0.000 0.000 1
Pt1 0.000 0.000 0.511 1
Pt2 0.000 0.500 0.734 1
Cl1 0.000 0.500 0.303 1

***

[4]
# Ni2PtCl PBEsol relaxed
# offset from the most stable computed form: 0 meV/atom
data_Ni2PtCl
_symmetry_space_group_name_H-M 'C m m m'
_symmetry_Int_Tables_number 65
_symmetry_space_group_name_Hall '-C 2 2'
_cell_length_a 2.769
_cell_length_b 4.865
_cell_length_c 7.898
_cell_angle_alpha 90.00
_cell_angle_beta 90.00
_cell_angle_gamma 90.00
loop_
_atom_site_label
_atom_site_fract_x
_atom_site_fract_y
_atom_site_fract_z
_atom_site_occupancy
Ni1 0.000 0.000 0.234 1
Pt1 0.000 0.500 0.500 1
Cl1 0.000 0.500 0.000 1

***

[5]
DFT (PBEsol) results for an optimized crystal structure of RbNiCl3.

Geometry as CIF:
```
data_RbNiCl3
_symmetry_space_group_name_H-M 'P 63/m m c'
_symmetry_Int_Tables_number 194
_symmetry_space_group_name_Hall '-P 6c 2c'
_cell_length_a 6.8584
_cell_length_b 6.8584
_cell_length_c 5.8090
_cell_angle_alpha 90.00
_cell_angle_beta 90.00
_cell_angle_gamma 120.00
loop_
_atom_site_label
_atom_site_fract_x
_atom_site_fract_y
_atom_site_fract_z
_atom_site_occupancy
Rb1 0.3333 0.6667 0.2500 1
Ni1 0.0000 0.0000 0.0000 1
Cl1 0.1570 0.3140 0.7500 1
```

***

[6]
# Re2NiCl PBEsol relaxed
# offset from the most stable computed form: 0 meV/atom
data_Re2NiCl
_symmetry_space_group_name_H-M 'C m m m'
_symmetry_Int_Tables_number 65
_symmetry_space_group_name_Hall '-C 2 2'
_cell_length_a 2.750
_cell_length_b 4.716
_cell_length_c 8.694
_cell_angle_alpha 90.00
_cell_angle_beta 90.00
_cell_angle_gamma 90.00
loop_
_atom_site_label
_atom_site_fract_x
_atom_site_fract_y
_atom_site_fract_z
_atom_site_occupancy
Re1 0.000 0.000 0.242 1
Ni1 0.000 0.500 0.000 1
Cl1 0.000 0.500 0.500 1

***

[7]
DFT (PBEsol) results for an optimized crystal structure of ReNiCl.

Geometry as CIF:
```
data_ReNiCl
_symmetry_space_group_name_H-M 'F -4 3 m'
_symmetry_Int_Tables_number 216
_symmetry_space_group_name_Hall 'F -4 2 3'
_cell_length_a 5.778
_cell_length_b 5.778
_cell_length_c 5.778
_cell_angle_alpha 90.00
_cell_angle_beta 90.00
_cell_angle_gamma 90.00
loop_
_atom_site_label
_atom_site_fract_x
_atom_site_fract_y
_atom_site_fract_z
_atom_site_occupancy
Re1 0.000 0.000 0.000 1
Ni1 0.250 0.250 0.250 1
Cl1 0.000 0.000 0.500 1
```

***

[8]
# ReNi2Cl PBEsol relaxed
# offset from the most stable computed form: 326 meV/atom
data_ReNi2Cl
_symmetry_space_group_name_H-M 'P m m m'
_symmetry_Int_Tables_number 47
_cell_length_a 2.695
_cell_length_b 4.301
_cell_length_c 4.371
_cell_angle_alpha 90.00
_cell_angle_beta 90.00
_cell_angle_gamma 90.00
loop_
_symmetry_equiv_pos_as_xyz
'x,y,z'
'-x,-y,-z'
'-x,-y,z'
'x,y,-z'
'x,-y,-z'
'-x,y,z'
'-x,y,-z'
'x,-y,z'
loop_
_atom_site_label
_atom_site_fract_x
_atom_site_fract_y
_atom_site_fract_z
_atom_site_occupancy
Re1 0.000 0.000 0.000 1
Ni1 0.000 0.500 0.500 1
Ni2 0.500 0.000 0.500 1
Cl1 0.500 0.500 0.000 1

***

[9]
# ReNi2Cl PBEsol relaxed
# offset from the most stable computed form: 0 meV/atom
data_ReNi2Cl
_symmetry_space_group_name_H-M 'P 1 m 1'
_symmetry_Int_Tables_number 6
_cell_length_a 2.698
_cell_length_b 3.885
_cell_length_c 5.181
_cell_angle_alpha 90.00
_cell_angle_beta 104.81
_cell_angle_gamma 90.00
loop_
_symmetry_equiv_pos_as_xyz
'x,y,z'
'x,-y,z'
loop_
_atom_site_label
_atom_site_fract_x
_atom_site_fract_y
_atom_site_fract_z
_atom_site_occupancy
Re1 0.000 0.000 0.000 1
Ni1 0.588 0.500 0.179 1
Ni2 0.716 0.000 0.445 1
Cl1 0.842 0.500 0.677 1

***

[10]
# Re2NiCl PBEsol relaxed
# offset from the most stable computed form: 191 meV/atom
data_Re2NiCl
_symmetry_space_group_name_H-M 'F -4 3 m'
_symmetry_Int_Tables_number 216
_symmetry_space_group_name_Hall 'F -4 2 3'
_cell_length_a 6.072
_cell_length_b 6.072
_cell_length_c 6.072
_cell_angle_alpha 90.00
_cell_angle_beta 90.00
_cell_angle_gamma 90.00
loop_
_atom_site_label
_atom_site_fract_x
_atom_site_fract_y
_atom_site_fract_z
_atom_site_occupancy
Re1 0.000 0.000 0.000 1
Re2 0.250 0.250 0.250 1
Ni1 0.250 0.250 0.750 1
Cl1 0.000 0.000 0.500 1

***

[11]
# ReNi2Cl PBEsol relaxed
# offset from the most stable computed form: 268 meV/atom
data_ReNi2Cl
_symmetry_space_group_name_H-M 'F -4 3 m'
_symmetry_Int_Tables_number 216
_symmetry_space_group_name_Hall 'F -4 2 3'
_cell_length_a 5.811
_cell_length_b 5.811
_cell_length_c 5.811
_cell_angle_alpha 90.00
_cell_angle_beta 90.00
_cell_angle_gamma 90.00
loop_
_atom_site_label
_atom_site_fract_x
_atom_site_fract_y
_atom_site_fract_z
_atom_site_occupancy
Re1 0.000 0.000 0.000 1
Ni1 0.000 0.000 0.500 1
Ni2 0.250 0.250 0.250 1
Cl1 0.250 0.250 0.750 1

***

[12]
DFT (PBEsol) results for an optimized crystal structure of Re3NiCl.

Geometry as CIF:
```
data_Re3NiCl
_symmetry_space_group_name_H-M 'P m -3 m'
_symmetry_Int_Tables_number 221
_symmetry_space_group_name_Hall '-P 4 2 3'
_cell_length_a 4.476
_cell_length_b 4.476
_cell_length_c 4.476
_cell_angle_alpha 90.00
_cell_angle_beta 90.00
_cell_angle_gamma 90.00
loop_
_atom_site_label
_atom_site_fract_x
_atom_site_fract_y
_atom_site_fract_z
_atom_site_occupancy
Re1 0.000 0.000 0.500 1
Ni1 0.000 0.000 0.000 1
Cl1 0.500 0.500 0.500 1
```

***

[13]
DFT (PBEsol) results for an optimized crystal structure of ReNi2SbCl.

Geometry as CIF:
```
data_ReNi2SbCl
_symmetry_space_group_name_H-M 'P 4/m m m'
_symmetry_Int_Tables_number 123
_symmetry_space_group_name_Hall '-P 4 2'
_cell_length_a 4.002
_cell_length_b 4.002
_cell_length_c 5.414
_cell_angle_alpha 90.00
_cell_angle_beta 90.00
_cell_angle_gamma 90.00
loop_
_atom_site_label
_atom_site_fract_x
_atom_site_fract_y
_atom_site_fract_z
_atom_site_occupancy
Re1 0.000 0.000 0.000 1
Ni1 0.000 0.500 0.500 1
Sb1 0.500 0.500 0.000 1
Cl1 0.500 0.500 0.500 1
```

***

[14]
DFT (PBEsol) results for an optimized crystal structure of TaReNi2Cl.

Geometry as CIF:
```
data_TaReNi2Cl
_symmetry_space_group_name_H-M 'P 4/m m m'
_symmetry_Int_Tables_number 123
_symmetry_space_group_name_Hall '-P 4 2'
_cell_length_a 4.529
_cell_length_b 4.529
_cell_length_c 4.451
_cell_angle_alpha 90.00
_cell_angle_beta 90.00
_cell_angle_gamma 90.00
loop_
_atom_site_label
_atom_site_fract_x
_atom_site_fract_y
_atom_site_fract_z
_atom_site_occupancy
Ta1 0.000 0.000 0.000 1
Re1 0.500 0.500 0.500 1
Ni1 0.000 0.500 0.000 1
Cl1 0.000 0.000 0.500 1
```

***

[15]
DFT (PBEsol) results for an optimized crystal structure of TaReNiCl2.

Geometry as CIF:
```
data_TaReNiCl2
_symmetry_space_group_name_H-M 'P 4/m m m'
_symmetry_Int_Tables_number 123
_symmetry_space_group_name_Hall '-P 4 2'
_cell_length_a 4.125
_cell_length_b 4.125
_cell_length_c 5.151
_cell_angle_alpha 90.00
_cell_angle_beta 90.00
_cell_angle_gamma 90.00
loop_
_atom_site_label
_atom_site_fract_x
_atom_site_fract_y
_atom_site_fract_z
_atom_site_occupancy
Ta1 0.000 0.000 0.000 1
Re1 0.500 0.500 0.000 1
Ni1 0.500 0.500 0.500 1
Cl1 0.000 0.500 0.500 1
```

***

[16]
# NiRhCl2 PBEsol relaxed
# offset from the most stable computed form: 0 meV/atom
data_NiRhCl2
_symmetry_space_group_name_H-M 'A m m 2'
_symmetry_Int_Tables_number 38
_cell_length_a 3.536
_cell_length_b 4.654
_cell_length_c 7.521
_cell_angle_alpha 90.00
_cell_angle_beta 90.00
_cell_angle_gamma 90.00
loop_
_symmetry_equiv_pos_as_xyz
'x,y,z'
'-x,-y,z'
'-x,y,z'
'x,-y,z'
'x,y+1/2,z+1/2'
'-x,-y+1/2,z+1/2'
'-x,y+1/2,z+1/2'
'x,-y+1/2,z+1/2'
loop_
_atom_site_label
_atom_site_fract_x
_atom_site_fract_y
_atom_site_fract_z
_atom_site_occupancy
Ni1 0.000 0.000 0.000 1
Rh1 0.500 0.000 0.770 1
Cl1 0.000 0.000 0.546 1
Cl2 0.500 0.000 0.206 1

***

[17]
# NiRhCl2 PBEsol relaxed
# offset from the most stable computed form: 447 meV/atom
data_NiRhCl2
_symmetry_space_group_name_H-M 'F m -3 m'
_symmetry_Int_Tables_number 225
_symmetry_space_group_name_Hall '-F 4 2 3'
_cell_length_a 6.053
_cell_length_b 6.053
_cell_length_c 6.053
_cell_angle_alpha 90.00
_cell_angle_beta 90.00
_cell_angle_gamma 90.00
loop_
_atom_site_label
_atom_site_fract_x
_atom_site_fract_y
_atom_site_fract_z
_atom_site_occupancy
Ni1 0.000 0.000 0.000 1
Rh1 0.000 0.000 0.500 1
Cl1 0.250 0.250 0.250 1

***

[18]
DFT (PBEsol) results for an optimized crystal structure of NiRhCl.

Geometry as CIF:
```
data_NiRhCl
_symmetry_space_group_name_H-M 'F -4 3 m'
_symmetry_Int_Tables_number 216
_symmetry_space_group_name_Hall 'F -4 2 3'
_cell_length_a 5.729
_cell_length_b 5.729
_cell_length_c 5.729
_cell_angle_alpha 90.00
_cell_angle_beta 90.00
_cell_angle_gamma 90.00
loop_
_atom_site_label
_atom_site_fract_x
_atom_site_fract_y
_atom_site_fract_z
_atom_site_occupancy
Ni1 0.000 0.000 0.000 1
Rh1 0.250 0.250 0.250 1
Cl1 0.250 0.250 0.750 1
```

***

[19]
DFT (PBEsol) results for an optimized crystal structure of NiRhS2Cl.

Geometry as CIF:
```
data_NiRhS2Cl
_symmetry_space_group_name_H-M 'P 4/m m m'
_symmetry_Int_Tables_number 123
_symmetry_space_group_name_Hall '-P 4 2'
_cell_length_a 4.521
_cell_length_b 4.521
_cell_length_c 4.690
_cell_angle_alpha 90.00
_cell_angle_beta 90.00
_cell_angle_gamma 90.00
loop_
_atom_site_label
_atom_site_fract_x
_atom_site_fract_y
_atom_site_fract_z
_atom_site_occupancy
Ni1 0.000 0.000 0.000 1
Rh1 0.500 0.500 0.500 1
S1 0.000 0.500 0.500 1
Cl1 0.500 0.500 0.000 1
```

***

[20]
# NiRu2Cl PBEsol relaxed
# offset from the most stable computed form: 0 meV/atom
data_NiRu2Cl
_symmetry_space_group_name_H-M 'P 4 m m'
_symmetry_Int_Tables_number 99
_cell_length_a 2.771
_cell_length_b 2.771
_cell_length_c 6.900
_cell_angle_alpha 90.00
_cell_angle_beta 90.00
_cell_angle_gamma 90.00
loop_
_symmetry_equiv_pos_as_xyz
'x,y,z'
'-y,x,z'
'-x,-y,z'
'y,-x,z'
'-x,y,z'
'y,x,z'
'x,-y,z'
'-y,-x,z'
loop_
_atom_site_label
_atom_site_fract_x
_atom_site_fract_y
_atom_site_fract_z
_atom_site_occupancy
Ni1 0.000 0.000 0.000 1
Ru1 0.000 0.000 0.492 1
Ru2 0.500 0.500 0.254 1
Cl1 0.500 0.500 0.757 1

***

Number 1: raw formation energy 1316 meV per atom, VASP energy -4.495 eV per atom. Number 2: raw formation energy 287 meV per atom, VASP energy -5.237 eV per atom. Number 3: raw formation energy 462 meV per atom, VASP energy -5.061 eV per atom. Number 4: raw formation energy 272 meV per atom, VASP energy -5.050 eV per atom. Number 5: raw formation energy -1153 meV per atom, VASP energy -3.794 eV per atom. Number 6: raw formation energy 789 meV per atom, VASP energy -7.919 eV per atom. Number 7: raw formation energy 1651 meV per atom, VASP energy -5.515 eV per atom. Number 8: raw formation energy 807 meV per atom, VASP energy -6.107 eV per atom. Number 9: raw formation energy 481 meV per atom, VASP energy -6.433 eV per atom. Number 10: raw formation energy 980 meV per atom, VASP energy -7.727 eV per atom. Number 11: raw formation energy 749 meV per atom, VASP energy -6.165 eV per atom. Number 12: raw formation energy 2446 meV per atom, VASP energy -7.186 eV per atom. Number 13: raw formation energy 1250 meV per atom, VASP energy -5.193 eV per atom. Number 14: raw formation energy 1760 meV per atom, VASP energy -6.281 eV per atom. Number 15: raw formation energy 1248 meV per atom, VASP energy -5.963 eV per atom. Number 16: raw formation energy 28 meV per atom, VASP energy -4.550 eV per atom. Number 17: raw formation energy 476 meV per atom, VASP energy -4.102 eV per atom. Number 18: raw formation energy 773 meV per atom, VASP energy -4.662 eV per atom. Number 19: raw formation energy 670 meV per atom, VASP energy -4.345 eV per atom. Number 20: raw formation energy 381 meV per atom, VASP energy -6.746 eV per atom.